[1]
MgZn3Ru | GGA-PBE | optimized geometry

Values from the calculation:
**E_form**: 407 meV per atom
**Symmetry**: Pm-3m, No. 221
**ρ**: 4.91 g cm⁻³
**V**: 108.72 Å³/cell
**ΔE to the lowest computed polymorph**: 0.498 eV per atom

Cell: 4.773 4.773 4.773 Å, 90.00 90.00 90.00°
Atoms (fractional coordinates):
Mg 0.000 0.000 0.000
Zn 0.000 0.500 0.500
Zn 0.500 0.000 0.500
Zn 0.500 0.500 0.000
Ru 0.500 0.500 0.500

---

[2]
MgZn3Ru | GGA-PBE | optimized geometry

Values from the calculation:
**E_form**: -91 meV per atom
**Symmetry**: P2/m, No. 10
**ρ**: 7.09 g cm⁻³
**V**: 301.13 Å³/cell
**ΔE to the lowest computed polymorph**: 0.000 eV per atom

Cell: 6.772 5.440 8.720 Å, 90.00 110.39 90.00°
Atoms (fractional coordinates):
Mg 0.133 0.000 0.310
Mg 0.264 0.500 0.892
Mg 0.736 0.500 0.108
Mg 0.867 0.000 0.690
Zn 0.000 0.241 0.000
Zn 0.000 0.759 0.000
Zn 0.184 0.259 0.607
Zn 0.184 0.741 0.607
Zn 0.412 0.242 0.179
Zn 0.412 0.758 0.179
Zn 0.500 0.265 0.500
Zn 0.500 0.735 0.500
Zn 0.588 0.242 0.821
Zn 0.588 0.758 0.821
Zn 0.816 0.259 0.393
Zn 0.816 0.741 0.393
Ru 0.147 0.500 0.311
Ru 0.277 0.000 0.882
Ru 0.723 0.000 0.118
Ru 0.853 0.500 0.689

---

[3]
MgZn2Ru | GGA-PBE | optimized geometry

Values from the calculation:
**E_form**: -59 meV per atom
**Symmetry**: P4/mmm, No. 123
**ρ**: 6.94 g cm⁻³
**V**: 61.29 Å³/cell

Cell: 3.244 3.244 5.825 Å, 90.00 90.00 90.00°
Atoms (fractional coordinates):
Mg 0.000 0.000 0.000
Zn 0.500 0.500 0.277
Zn 0.500 0.500 0.723
Ru 0.000 0.000 0.500

---

[4]
Mg8Zn2Ru | GGA-PBE | optimized geometry

Values from the calculation:
**E_form**: -38 meV per atom
**Symmetry**: C2/m, No. 12
**ρ**: 3.29 g cm⁻³
**V**: 215.23 Å³/cell

Cell: 7.887 7.887 6.832 Å, 112.61 112.61 33.57°
Atoms (fractional coordinates):
Mg 0.023 0.023 0.284
Mg 0.172 0.172 0.730
Mg 0.338 0.338 0.581
Mg 0.394 0.394 0.070
Mg 0.606 0.606 0.930
Mg 0.662 0.662 0.419
Mg 0.828 0.828 0.270
Mg 0.977 0.977 0.716
Zn 0.191 0.191 0.171
Zn 0.809 0.809 0.829
Ru 0.500 0.500 0.500

---

[5]
Mg2Zn6Ru | GGA-PBE | optimized geometry

Values from the calculation:
**E_form**: -96 meV per atom
**Symmetry**: C2/m, No. 12
**ρ**: 5.96 g cm⁻³
**V**: 150.98 Å³/cell
**ΔE to the lowest computed polymorph**: 0.000 eV per atom

Cell: 5.203 5.203 6.632 Å, 101.70 101.70 59.88°
Atoms (fractional coordinates):
Mg 0.153 0.153 0.426
Mg 0.847 0.847 0.574
Zn 0.109 0.610 0.175
Zn 0.386 0.386 0.817
Zn 0.390 0.891 0.825
Zn 0.610 0.109 0.175
Zn 0.614 0.614 0.183
Zn 0.891 0.390 0.825
Ru 0.500 0.500 0.500

---

[6]
MgZn5Ru | GGA-PBE | optimized geometry

Values from the calculation:
**E_form**: 74 meV per atom
**Symmetry**: Cmmm, No. 65
**ρ**: 6.47 g cm⁻³
**V**: 232.40 Å³/cell

Cell: 5.170 8.065 5.574 Å, 90.00 90.00 90.00°
Atoms (fractional coordinates):
Mg 0.000 0.000 0.000
Mg 0.500 0.500 0.000
Zn 0.000 0.000 0.500
Zn 0.250 0.250 0.264
Zn 0.250 0.250 0.736
Zn 0.250 0.750 0.264
Zn 0.250 0.750 0.736
Zn 0.500 0.500 0.500
Zn 0.750 0.250 0.264
Zn 0.750 0.250 0.736
Zn 0.750 0.750 0.264
Zn 0.750 0.750 0.736
Ru 0.000 0.500 0.500
Ru 0.500 0.000 0.500

---

[7]
MgZn2Ru | GGA-PBE | optimized geometry

Values from the calculation:
**E_form**: -127 meV per atom
**Symmetry**: P4/mmm, No. 123
**ρ**: 7.20 g cm⁻³
**V**: 59.05 Å³/cell

Cell: 3.912 3.912 3.859 Å, 90.00 90.00 90.00°
Atoms (fractional coordinates):
Mg 0.000 0.000 0.000
Zn 0.000 0.500 0.500
Zn 0.500 0.000 0.500
Ru 0.500 0.500 0.000

---

[8]
MgZnRu4 | GGA-PBE | optimized geometry

Values from the calculation:
**E_form**: 324 meV per atom
**Symmetry**: F-43m, No. 216
**ρ**: 8.60 g cm⁻³
**V**: 95.38 Å³/cell

Cell: 5.128 5.128 5.128 Å, 60.00 60.00 60.00°
Atoms (fractional coordinates):
Mg 0.000 0.000 0.000
Zn 0.250 0.250 0.250
Ru 0.126 0.625 0.625
Ru 0.625 0.126 0.625
Ru 0.625 0.625 0.126
Ru 0.625 0.625 0.625

---

[9]
Mg2ZnRu | GGA-PBE | optimized geometry

Values from the calculation:
**E_form**: -83 meV per atom
**Symmetry**: Imm2, No. 44
**ρ**: 5.54 g cm⁻³
**V**: 128.94 Å³/cell

Cell: 3.467 4.240 8.770 Å, 90.00 90.00 90.00°
Atoms (fractional coordinates):
Mg 0.000 0.000 0.000
Mg 0.000 0.500 0.231
Mg 0.500 0.000 0.731
Mg 0.500 0.500 0.500
Zn 0.000 0.000 0.476
Zn 0.500 0.500 0.976
Ru 0.000 0.500 0.750
Ru 0.500 0.000 0.250

---

[10]
MgZn2Ru2 | GGA-PBE | optimized geometry

Values from the calculation:
**E_form**: 97 meV per atom
**Symmetry**: P4/mbm, No. 127
**ρ**: 7.58 g cm⁻³
**V**: 156.52 Å³/cell
**ΔE to the lowest computed polymorph**: 0.000 eV per atom

Cell: 7.068 7.068 3.133 Å, 90.00 90.00 90.00°
Atoms (fractional coordinates):
Mg 0.000 0.000 0.000
Mg 0.500 0.500 0.000
Zn 0.170 0.330 0.500
Zn 0.330 0.830 0.500
Zn 0.670 0.170 0.500
Zn 0.830 0.670 0.500
Ru 0.126 0.626 0.000
Ru 0.374 0.126 0.000
Ru 0.626 0.874 0.000
Ru 0.874 0.374 0.000

---

[11]
Mg16Zn12Ru | GGA-PBE | optimized geometry

Values from the calculation:
**E_form**: -81 meV per atom
**Symmetry**: Cm, No. 8
**ρ**: 4.00 g cm⁻³
**V**: 528.81 Å³/cell

Cell: 8.699 8.699 8.742 Å, 108.57 108.57 108.00°
Atoms (fractional coordinates):
Mg 0.000 0.000 0.000
Mg 0.081 0.702 0.346
Mg 0.091 0.329 0.649
Mg 0.284 0.986 0.270
Mg 0.291 0.291 0.979
Mg 0.323 0.680 0.663
Mg 0.329 0.091 0.649
Mg 0.363 0.682 0.067
Mg 0.397 0.999 0.980
Mg 0.677 0.677 0.654
Mg 0.680 0.323 0.663
Mg 0.682 0.363 0.067
Mg 0.702 0.081 0.346
Mg 0.721 0.721 0.321
Mg 0.986 0.284 0.270
Mg 0.999 0.397 0.980
Zn 0.043 0.661 0.837
Zn 0.047 0.866 0.669
Zn 0.319 0.319 0.484
Zn 0.332 0.526 0.311
Zn 0.495 0.495 0.843
Zn 0.499 0.876 0.480
Zn 0.526 0.332 0.311
Zn 0.661 0.043 0.837
Zn 0.678 0.862 0.028
Zn 0.862 0.678 0.028
Zn 0.866 0.047 0.669
Zn 0.876 0.499 0.480
Ru 0.001 0.001 0.340

---

[12]
MgZn6Ru | GGA-PBE | optimized geometry

Values from the calculation:
**E_form**: -81 meV per atom
**Symmetry**: C2/m, No. 12
**ρ**: 7.20 g cm⁻³
**V**: 238.97 Å³/cell

Cell: 5.411 8.680 5.119 Å, 90.00 96.28 90.00°
Atoms (fractional coordinates):
Mg 0.000 0.000 0.000
Mg 0.500 0.500 0.000
Zn 0.180 0.256 0.753
Zn 0.180 0.744 0.753
Zn 0.239 0.500 0.482
Zn 0.261 0.000 0.518
Zn 0.320 0.244 0.247
Zn 0.320 0.756 0.247
Zn 0.680 0.244 0.753
Zn 0.680 0.756 0.753
Zn 0.739 0.000 0.482
Zn 0.761 0.500 0.518
Zn 0.820 0.256 0.247
Zn 0.820 0.744 0.247
Ru 0.000 0.500 0.000
Ru 0.500 0.000 0.000

---

Which of these has the lowest E_form? number 7